# 1
DFT (PBE-GGA) results for a geometry-optimized LiSc2TaSi structure.

a b c (Å): 5.025 4.795 5.025
angles (deg): 90.00 90.00 90.00
Sites, in units of the cell vectors:
1 Sc 0.000 0.000 0.500
2 Sc 0.500 0.000 0.000
3 Si 0.000 0.000 0.000
4 Li 0.500 0.500 0.500
5 Ta 0.000 0.500 0.000

## Properties
As for the mass density: 4196 kg/m3. As for the space-group type: P4/mmm (123). The value obtained for the formation energy from raw total energies is 37.8 kJ per mole of atoms. For the density of states at the Fermi level, the calculation gives 1.479 states/eV/atom.


# 2
DFT (PBE-GGA) results for a geometry-optimized Li2TbSc2Si2 structure.

a b c (Å): 4.372 4.372 8.534
angles (deg): 75.16 75.16 60.00
Sites, in units of the cell vectors:
1 Li 0.586 0.586 0.243
2 Li 0.414 0.414 0.757
3 Tb 0.000 0.000 0.000
4 Sc 0.131 0.131 0.606
5 Sc 0.869 0.869 0.394
6 Si 0.744 0.744 0.767
7 Si 0.256 0.256 0.233

## Properties
As for the mass density: 3925 kg/m3. As for the space-group type: R-3m (166). The value obtained for the formation energy from raw total energies is -41.5 kJ per mole of atoms. For the density of states at the Fermi level, the calculation gives 0.701 states/eV/atom.


# 3
DFT (PBE-GGA) results for a geometry-optimized LiScSiTc structure.

a b c (Å): 4.363 4.363 4.363
angles (deg): 60.00 60.00 60.00
Sites, in units of the cell vectors:
1 Sc 0.500 0.500 0.500
2 Si 0.250 0.250 0.250
3 Tc 0.000 0.000 0.000
4 Li 0.750 0.750 0.750

## Properties
As for the mass density: 5032 kg/m3. As for the space-group type: F-43m (216). The value obtained for the formation energy from raw total energies is -26.3 kJ per mole of atoms. For the density of states at the Fermi level, the calculation gives 0.865 states/eV/atom.


# 4
DFT (PBE-GGA) results for a geometry-optimized LiScTiSi structure.

a b c (Å): 4.500 4.500 4.500
angles (deg): 60.00 60.00 60.00
Sites, in units of the cell vectors:
1 Sc 0.750 0.750 0.750
2 Si 0.500 0.500 0.500
3 Li 0.000 0.000 0.000
4 Ti 0.250 0.250 0.250

## Properties
As for the mass density: 3296 kg/m3. As for the space-group type: F-43m (216). The value obtained for the formation energy from raw total energies is -30.7 kJ per mole of atoms. For the density of states at the Fermi level, the calculation gives 0.900 states/eV/atom.


# 5
DFT (PBE-GGA) results for a geometry-optimized LiSc2SiW structure.

a b c (Å): 4.613 4.110 4.613
angles (deg): 90.00 90.00 90.00
Sites, in units of the cell vectors:
1 Sc 0.000 0.000 0.500
2 Sc 0.500 0.000 0.000
3 Si 0.000 0.500 0.000
4 W 0.500 0.500 0.500
5 Li 0.000 0.000 0.000

## Properties
As for the mass density: 5863 kg/m3. As for the space-group type: P4/mmm (123). The value obtained for the formation energy from raw total energies is 69.3 kJ per mole of atoms. For the density of states at the Fermi level, the calculation gives 1.022 states/eV/atom.


# 6
DFT (PBE-GGA) results for a geometry-optimized LiSm2Sc structure.

a b c (Å): 3.736 3.736 8.111
angles (deg): 90.00 90.00 90.00
Sites, in units of the cell vectors:
1 Sc 0.500 0.500 0.000
2 Sm 0.000 0.000 0.747
3 Sm 0.000 0.000 0.253
4 Li 0.500 0.500 0.500

## Properties
For the energy of formation from the pure elements, the calculation gives 0.08 eV/atom. The energy relative to the lowest polymorph listed for this composition is 0.0 kJ/mol of atoms. As for the mass density: 5172 kg/m3. As for the space-group type: P4/mmm (123). For the density of states at the Fermi level, the calculation gives 1.328 states/eV/atom.